A plane-wave DFT calculation with GGA-PBE was carried out for an optimized crystal structure of Tm6CoSb2.

Geometry as CIF:
```
data_Tm6CoSb2
_chemical_formula_sum 'Tm12 Co2 Sb4'
_symmetry_space_group_name_H-M 'P 1'
_symmetry_Int_Tables_number 1
_cell_length_a 6.275
_cell_length_b 7.756
_cell_length_c 11.596
_cell_angle_alpha 90.00
_cell_angle_beta 121.30
_cell_angle_gamma 90.00
loop_
_symmetry_equiv_pos_as_xyz
'x,y,z'
loop_
_atom_site_label
_atom_site_type_symbol
_atom_site_fract_x
_atom_site_fract_y
_atom_site_fract_z
Tm1 Tm 0.100 0.181 0.458
Tm2 Tm 0.100 0.319 0.958
Tm3 Tm 0.322 0.686 0.459
Tm4 Tm 0.322 0.814 0.959
Tm5 Tm 0.374 0.022 0.251
Tm6 Tm 0.374 0.478 0.751
Tm7 Tm 0.626 0.522 0.249
Tm8 Tm 0.626 0.978 0.749
Tm9 Tm 0.678 0.186 0.041
Tm10 Tm 0.678 0.314 0.541
Tm11 Tm 0.900 0.681 0.042
Tm12 Tm 0.900 0.819 0.542
Co1 Co 0.500 0.000 0.500
Co2 Co 0.500 0.500 0.000
Sb1 Sb 0.156 0.114 0.750
Sb2 Sb 0.156 0.386 0.250
Sb3 Sb 0.844 0.614 0.750
Sb4 Sb 0.844 0.886 0.250
```

## Properties
* magnetic moment: 0.00 μB/f.u.
* total DFT energy (no corrections): -0.191 hartree per atom
* formation energy from raw total energies: -0.508 eV/atom
* D(E_F): 8.3 states/eV/f.u.